Entry 1:
LiNbSb2Te | Alexandria | PBE-GGA | relaxed; total magnetic moment = 0.00 μB/atom; formation energy without anion corrections = 123 meV per atom; E above lowest polymorph = 0.000 eV/f.u.; V = 160.3 Å³ per cell
1.0
-3.671 -3.212 2.396
0.666 -3.693 -3.931
3.948 -2.360 2.886
Te Sb Li Nb
1 2 1 1
direct
0.000 0.000 0.500
0.000 0.500 0.000
0.500 0.000 0.000
0.500 0.500 0.500
0.000 0.000 0.000

***

Entry 2:
LiNbVSb2 | Alexandria | PBE-GGA | relaxed; total magnetic moment = 0.18 μB/atom; formation energy without anion corrections = 1156 meV per atom; V = 135.2 Å³ per cell
1.0
5.278 0.000 0.000
0.000 4.852 0.000
0.000 0.000 5.278
V Sb Nb Li
1 2 1 1
direct
0.500 0.500 0.500
0.000 0.000 0.500
0.500 0.000 0.000
0.000 0.000 0.000
0.000 0.500 0.000

***

Entry 3:
LiSc2Nb2 | Alexandria | PBE-GGA | relaxed; calculated formation energy = 73 kJ/mol of atoms; total magnetic moment = 0.00 μB/atom; E above lowest polymorph = 1.956 eV/f.u.; V = 109.7 Å³ per cell
1.0
-0.979 3.849 -0.692
-2.389 -1.153 -3.036
-6.870 0.800 2.425
Sc Li Nb
2 1 2
direct
0.750 0.250 0.500
0.250 0.750 0.500
0.000 0.000 0.000
0.585 0.585 0.830
0.415 0.415 0.170

***

Entry 4:
LiSc2Nb | Alexandria | PBE-GGA | relaxed; calculated formation energy = 11 kJ/mol of atoms; total magnetic moment = 0.00 μB/atom; E above lowest polymorph = 0.000 eV/f.u.; V = 85.9 Å³ per cell
1.0
3.088 0.000 0.000
0.000 3.088 0.000
0.000 0.000 9.009
Sc Li Nb
2 1 1
direct
0.000 0.000 0.232
0.000 0.000 0.768
0.500 0.500 0.500
0.500 0.500 0.000

***

Table of raw total energy (eV for the cell shown), in record order: -22.757 -23.569 -30.916 -24.188